Below is a relaxed LaAuS crystal, with properties calculated at the PBE-GGA level.

```
LaAuS
1.0
2.380 1.374 8.008
-2.380 1.374 8.008
0.000 -2.748 8.008
La Au S
2 2 2
direct
0.089 0.089 0.089
0.911 0.911 0.911
0.336 0.336 0.336
0.664 0.664 0.664
0.211 0.211 0.211
0.789 0.789 0.789
```

The total energy is -33.33 eV per cell. Its crystal system is trigonal. The value obtained for the total magnetization is 0.00 μB per cell. The calculation puts the density of states at the Fermi level at 0.3235 states/eV per atom. Its space group is R-3m, No. 166. As for the energy relative to the elements, uncorrected: -1.444 eV/atom.

=====

Below is a relaxed La2AuS crystal, with properties calculated at the PBE-GGA level.

```
La2AuS
1.0
2.062 1.190 7.737
-2.062 1.190 7.737
0.000 -2.381 7.737
La Au S
2 1 1
direct
0.000 0.000 0.000
0.165 0.165 0.165
0.583 0.583 0.583
0.414 0.414 0.414
```

The total energy is -22.37 eV per cell. Its crystal system is trigonal. The value obtained for the total magnetization is 0.00 μB per cell. The calculation puts the density of states at the Fermi level at 0.8726 states/eV per atom. Its space group is R3m, No. 160. As for the energy relative to the elements, uncorrected: -1.277 eV/atom.